Material: K2Mn2Be3F12
Method: DFT, GGA+U
State: relaxed

```
data_K2Mn2Be3F12
_cell_length_a 10.303
_cell_length_b 10.303
_cell_length_c 10.303
_cell_angle_alpha 90.00
_cell_angle_beta 90.00
_cell_angle_gamma 90.00
_space_group_name_H-M_alt 'P 21 3'
_space_group_IT_number 198
_space_group_name_Hall 'P 2ac 2ab 3'
loop_
_atom_site_label
_atom_site_type_symbol
_atom_site_fract_x
_atom_site_fract_y
_atom_site_fract_z
K1 K 0.051 0.051 0.051
K2 K 0.192 0.308 0.692
Mn1 Mn 0.093 0.907 0.407
Mn2 Mn 0.169 0.669 0.831
Be1 Be 0.014 0.221 0.375
F1 F 0.007 0.079 0.729
F2 F 0.016 0.080 0.319
F3 F 0.045 0.818 0.226
F4 F 0.085 0.846 0.763
```

Raw total energy ... -5.708 eV/atom